1.
## Li4CoO3F (PBEsol)

Data for crystalline Li4CoO3F at its relaxed geometry. Values from VASP.

Geometry as Quantum ESPRESSO input:
```
&SYSTEM
  ibrav = 0, nat = 18, ntyp = 4
/
ATOMIC_SPECIES
Li 6.94 Li.upf
Co 58.93 Co.upf
O 16.00 O.upf
F 19.00 F.upf
ATOMIC_POSITIONS angstrom
Li 1.539 3.502 0.028
Li 1.522 3.484 3.337
Li 3.363 1.772 3.337
Li 3.380 1.791 0.028
Li 2.046 0.440 1.716
Li 4.613 3.201 5.026
Li 2.856 4.835 5.026
Li 0.289 2.073 1.716
Co 0.580 0.625 4.492
Co 4.321 4.650 1.183
O 1.429 1.537 3.232
O 3.473 3.737 6.542
O 0.648 4.034 1.669
O 0.926 4.333 4.978
O 4.254 1.241 4.978
O 3.976 0.941 1.669
F 3.376 3.632 3.653
F 1.526 1.642 0.344
CELL_PARAMETERS angstrom
5.274 0.014 0.000
-0.372 5.261 0.000
0.000 0.000 6.619
```

Calculated values
Its total energy is -5.48 eV per atom. The value obtained for the uncorrected formation energy is -1785.7 meV/atom.


2.
## Nb2CdO6 (PBEsol)

Data for crystalline Nb2CdO6 at its relaxed geometry. Values from VASP.

Geometry as Quantum ESPRESSO input:
```
&SYSTEM
  ibrav = 0, nat = 36, ntyp = 3
/
ATOMIC_SPECIES
Nb 92.91 Nb.upf
Cd 112.41 Cd.upf
O 16.00 O.upf
ATOMIC_POSITIONS angstrom
Nb -5.234 -2.799 -1.195
Nb -3.301 -0.412 0.138
Nb -6.690 -1.272 1.838
Nb -5.937 0.920 -2.084
Nb -10.717 1.475 2.518
Nb -9.963 3.667 -1.405
Nb -13.352 2.807 0.296
Nb -11.420 5.194 1.629
Cd -2.651 -4.066 0.958
Cd -1.949 -1.962 -2.915
Cd -9.319 -0.041 -0.424
Cd -7.334 2.435 0.858
O -4.558 -4.204 -0.256
O -1.540 0.034 0.030
O -2.933 -1.916 1.536
O -3.400 -1.804 -1.210
O -5.424 -1.419 0.342
O -5.687 -0.960 -2.601
O -7.165 -3.155 -1.279
O -4.216 0.965 -0.926
O -8.284 -1.620 0.787
O -5.130 2.848 0.943
O -6.854 0.520 2.113
O -7.187 0.861 -0.763
O -9.467 1.534 1.197
O -9.799 1.875 -1.679
O -11.523 -0.453 -0.509
O -8.370 4.015 -0.353
O -12.438 1.430 1.360
O -9.489 5.550 1.713
O -10.966 3.355 3.034
O -11.229 3.814 0.091
O -13.253 4.199 1.644
O -13.720 4.311 -1.102
O -15.114 2.361 0.403
O -12.095 6.599 0.689
CELL_PARAMETERS angstrom
-1.914 -1.449 -4.547
-2.686 -4.579 2.590
-12.053 8.423 2.390
```

Calculated values
Its total energy is -8.29 eV per atom. The value obtained for the uncorrected formation energy is -2247.8 meV/atom.


3.
## LiCa2Y (PBEsol)

Data for crystalline LiCa2Y at its relaxed geometry. Values from VASP.

Geometry as Quantum ESPRESSO input:
```
&SYSTEM
  ibrav = 0, nat = 4, ntyp = 3
/
ATOMIC_SPECIES
Ca 40.08 Ca.upf
Li 6.94 Li.upf
Y 88.91 Y.upf
ATOMIC_POSITIONS angstrom
Ca 0.000 0.000 0.007
Ca 1.892 0.000 3.230
Li 1.892 2.937 0.013
Y 0.000 2.937 2.617
CELL_PARAMETERS angstrom
3.783 0.000 0.000
0.000 5.874 0.000
-1.892 -2.937 5.867
```

Calculated values
Its total energy is -3.13 eV per atom. The value obtained for the offset from the most stable computed form is 0.034 eV/atom.


4.
## TaAl2Tc (PBEsol)

Data for crystalline TaAl2Tc at its relaxed geometry. Values from VASP.

Geometry as Quantum ESPRESSO input:
```
&SYSTEM
  ibrav = 0, nat = 4, ntyp = 3
/
ATOMIC_SPECIES
Ta 180.95 Ta.upf
Al 26.98 Al.upf
Tc 98.00 Tc.upf
ATOMIC_POSITIONS angstrom
Ta 0.921 -2.117 4.853
Al 0.000 0.000 0.000
Al 1.382 -3.175 7.280
Tc 0.461 -1.058 2.427
CELL_PARAMETERS angstrom
-1.404 -2.918 2.962
2.895 -2.196 2.461
0.352 0.880 4.285
```

Calculated values
Its total energy is -8.32 eV per atom. The value obtained for the offset from the most stable computed form is 0.046 eV/atom.


| no. | volume (Å³ per cell) |
| --- | --- |
| 1 | 183.7 |
| 2 | 452.5 |
| 3 | 130.4 |
| 4 | 59.8 |